Entry 1:
# Ca2PrSm2, relaxed, DFT PBE
data_Ca2PrSm2
_chemical_formula_sum 'Ca4 Pr2 Sm4'
_cell_length_a 9.571
_cell_length_b 9.571
_cell_length_c 4.029
_cell_angle_alpha 90.00
_cell_angle_beta 90.00
_cell_angle_gamma 90.00
_space_group_name_H-M_alt 'P 1'
_space_group_IT_number 1
loop_
_space_group_symop_operation_xyz
'x,y,z'
loop_
_atom_site_label
_atom_site_fract_x
_atom_site_fract_y
_atom_site_fract_z
Ca1 0.172 0.328 0.000
Ca2 0.328 0.828 0.000
Ca3 0.672 0.172 0.000
Ca4 0.828 0.672 0.000
Pr1 0.000 0.000 0.500
Pr2 0.500 0.500 0.500
Sm1 0.126 0.626 0.500
Sm2 0.374 0.126 0.500
Sm3 0.626 0.874 0.500
Sm4 0.874 0.374 0.500
# Uncorrected energy, eV/cell: -34.47
# Calculated density, g cm⁻³: 4.70
# ΔH_f (0 K), meV per atom: 197

Entry 2:
# CaPrSm4, relaxed, DFT PBE
data_CaPrSm4
_chemical_formula_sum 'Ca1 Pr1 Sm4'
_cell_length_a 6.380
_cell_length_b 6.380
_cell_length_c 10.425
_cell_angle_alpha 114.13
_cell_angle_beta 114.13
_cell_angle_gamma 33.34
_space_group_name_H-M_alt 'P 1'
_space_group_IT_number 1
loop_
_space_group_symop_operation_xyz
'x,y,z'
loop_
_atom_site_label
_atom_site_fract_x
_atom_site_fract_y
_atom_site_fract_z
Ca1 0.000 0.000 0.000
Pr1 0.000 0.000 0.500
Sm1 0.332 0.332 0.173
Sm2 0.332 0.332 0.660
Sm3 0.668 0.668 0.340
Sm4 0.668 0.668 0.827
# Uncorrected energy, eV/cell: -25.35
# Calculated density, g cm⁻³: 6.16
# Energy relative to the lowest polymorph listed for this composition, meV per atom: 0
# ΔH_f (0 K), meV per atom: 52

Entry 3:
# CaPrSm2, relaxed, DFT PBE
data_CaPrSm2
_chemical_formula_sum 'Ca1 Pr1 Sm2'
_cell_length_a 5.876
_cell_length_b 5.876
_cell_length_c 5.876
_cell_angle_alpha 60.00
_cell_angle_beta 60.00
_cell_angle_gamma 60.00
_space_group_name_H-M_alt 'P 1'
_space_group_IT_number 1
loop_
_space_group_symop_operation_xyz
'x,y,z'
loop_
_atom_site_label
_atom_site_fract_x
_atom_site_fract_y
_atom_site_fract_z
Ca1 0.000 0.000 0.000
Pr1 0.500 0.500 0.500
Sm1 0.250 0.250 0.250
Sm2 0.750 0.750 0.750
# Uncorrected energy, eV/cell: -15.64
# Calculated density, g cm⁻³: 5.58
# Energy relative to the lowest polymorph listed for this composition, meV per atom: 99
# ΔH_f (0 K), meV per atom: 146

Entry 4:
# CaPr3Sm3, relaxed, DFT PBE
data_CaPr3Sm3
_chemical_formula_sum 'Ca2 Pr6 Sm6'
_cell_length_a 9.229
_cell_length_b 9.229
_cell_length_c 9.229
_cell_angle_alpha 57.15
_cell_angle_beta 57.15
_cell_angle_gamma 57.15
_space_group_name_H-M_alt 'P 1'
_space_group_IT_number 1
loop_
_space_group_symop_operation_xyz
'x,y,z'
loop_
_atom_site_label
_atom_site_fract_x
_atom_site_fract_y
_atom_site_fract_z
Ca1 0.155 0.155 0.155
Ca2 0.845 0.845 0.845
Pr1 0.209 0.675 0.436
Pr2 0.325 0.564 0.791
Pr3 0.436 0.209 0.675
Pr4 0.564 0.791 0.325
Pr5 0.675 0.436 0.209
Pr6 0.791 0.325 0.564
Sm1 0.075 0.566 0.229
Sm2 0.229 0.075 0.566
Sm3 0.434 0.771 0.925
Sm4 0.566 0.229 0.075
Sm5 0.771 0.925 0.434
Sm6 0.925 0.434 0.771
# Uncorrected energy, eV/cell: -57.83
# Calculated density, g cm⁻³: 5.84
# Energy relative to the lowest polymorph listed for this composition, meV per atom: 21
# ΔH_f (0 K), meV per atom: 226

Entry 5:
# Ca2Pr2Sm, relaxed, DFT PBE
data_Ca2Pr2Sm
_chemical_formula_sum 'Ca2 Pr2 Sm1'
_cell_length_a 3.731
_cell_length_b 3.731
_cell_length_c 15.629
_cell_angle_alpha 90.00
_cell_angle_beta 90.00
_cell_angle_gamma 120.00
_space_group_name_H-M_alt 'P 1'
_space_group_IT_number 1
loop_
_space_group_symop_operation_xyz
'x,y,z'
loop_
_atom_site_label
_atom_site_fract_x
_atom_site_fract_y
_atom_site_fract_z
Ca1 0.333 0.667 0.394
Ca2 0.667 0.333 0.606
Pr1 0.333 0.667 0.813
Pr2 0.667 0.333 0.187
Sm1 0.000 0.000 0.000
# Uncorrected energy, eV/cell: -18.14
# Calculated density, g cm⁻³: 4.52
# Energy relative to the lowest polymorph listed for this composition, meV per atom: 0
# ΔH_f (0 K), meV per atom: 29

Entry 6:
# CaPrSm, relaxed, DFT PBE
data_CaPrSm
_chemical_formula_sum 'Ca2 Pr2 Sm2'
_cell_length_a 16.620
_cell_length_b 16.620
_cell_length_c 3.724
_cell_angle_alpha 90.00
_cell_angle_beta 90.00
_cell_angle_gamma 167.35
_space_group_name_H-M_alt 'P 1'
_space_group_IT_number 1
loop_
_space_group_symop_operation_xyz
'x,y,z'
loop_
_atom_site_label
_atom_site_fract_x
_atom_site_fract_y
_atom_site_fract_z
Ca1 0.050 0.950 0.750
Ca2 0.950 0.050 0.250
Pr1 0.365 0.635 0.750
Pr2 0.635 0.365 0.250
Sm1 0.211 0.789 0.750
Sm2 0.789 0.211 0.250
# Uncorrected energy, eV/cell: -22.66
# Calculated density, g cm⁻³: 4.88
# Energy relative to the lowest polymorph listed for this composition, meV per atom: 27
# ΔH_f (0 K), meV per atom: 57